(1)
LiTmNiHg: relaxed, PBE.

Its formation energy is -0.254 eV/atom.

The space group is F-43m (No. 216) and the conventional cell measures 6.555, 6.555 and 6.555 Å, with angles of 90.00, 90.00 and 90.00 degrees. The inequivalent atoms are Li at (0.000, 0.000, 0.000), Tm at (0.250, 0.250, 0.250), Ni at (0.000, 0.000, 0.500) and Hg at (0.250, 0.250, 0.750).



(2)
UPdSe: relaxed, PBE.

The calculation puts the formation energy without anion corrections at -0.58 eV per atom. The value obtained for the energy above the most stable polymorph in this dataset is 17.0 meV/atom.

The space group is Imma (No. 74) and the conventional cell measures 4.985, 5.656 and 8.237 Å, with angles of 90.00, 90.00 and 90.00 degrees. The inequivalent atoms are U at (0.000, 0.000, 0.000), Pd at (0.000, 0.250, 0.322) and Se at (0.000, 0.250, 0.645).